Entry from Alexandria via LeMat-Bulk: crystalline Y8As3CS3 at its relaxed geometry (PBE).

Unit cell a=7.9392 b=7.9393 c=7.9895 alpha=119.79 beta=90.00 gamma=120.00
Positions (direct):
Y  0.7727  0.0025  0.2753
Y  0.7727  0.5453  0.2752
As  0.0000  0.0000  0.0000
As  0.5000  0.5000  0.0000
S  0.0000  0.5000  0.5000
C  0.0000  0.0000  0.5000
Y  0.2298  0.0025  0.2753
Y  0.7494  0.4989  0.7483
Y  0.2273  0.4547  0.7248
Y  0.7702  0.9975  0.7247
Y  0.2506  0.5011  0.2517
S  0.5000  0.0000  0.5000
S  0.5000  0.5000  0.5000
Y  0.2273  0.9975  0.7247
As  0.0000  0.5000  0.0000

Summary:
ρ: 4.9 Mg/m³
E_form (uncorrected): -1.48 eV/atom
Raw total energy: -109.54 eV per cell
Total magnetic moment: 0.00 μB per cell